(1)
SmIrOs | PBE-GGA | relaxed

ΔE to the lowest computed polymorph = 0 meV/atom
formation energy = -44 kJ per mole of atoms
magnetization = 0.00 μB/cell
calculated total energy = -8.729 eV/atom
crystal system = orthorhombic

Cell and atoms, written as POSCAR:
```
SmIrOs
1.0
-3.321 -3.911 1.469
5.170 -1.097 -0.740
1.636 1.865 8.662
Ir Sm Os
4 4 4
Direct
0.342 0.166 0.500
0.834 0.658 0.500
0.997 0.003 0.251
0.997 0.003 0.749
0.665 0.335 0.184
0.332 0.668 0.681
0.665 0.335 0.816
0.332 0.668 0.319
0.176 0.824 0.000
0.168 0.338 0.000
0.662 0.832 0.000
0.831 0.169 0.500
```

---

(2)
SmIrOs | PBE-GGA | relaxed

ΔE to the lowest computed polymorph = 3 meV/atom
formation energy = -44 kJ per mole of atoms
magnetization = 0.00 μB/cell
calculated total energy = -8.726 eV/atom
crystal system = orthorhombic

Cell and atoms, written as POSCAR:
```
SmIrOs
1.0
4.537 0.000 2.547
1.545 4.545 2.562
-0.071 0.127 5.439
Os Sm Ir
2 2 2
Direct
0.000 0.000 0.000
0.500 0.000 0.000
0.123 0.627 0.627
0.877 0.373 0.373
0.500 0.500 0.000
0.500 0.000 0.500
```

---

(3)
Sm2Ir3Os | PBE-GGA | relaxed

formation energy = -58 kJ per mole of atoms
magnetization = 0.00 μB/cell
calculated total energy = -8.477 eV/atom
crystal system = hexagonal

Cell and atoms, written as POSCAR:
```
Sm2Ir3Os
1.0
5.430 0.000 0.000
-2.715 4.702 0.000
0.000 0.000 8.744
Os Ir Sm
2 6 4
Direct
0.000 0.000 0.000
0.000 0.000 0.500
0.832 0.664 0.750
0.832 0.168 0.750
0.168 0.336 0.250
0.168 0.832 0.250
0.664 0.832 0.250
0.336 0.168 0.750
0.333 0.667 0.935
0.333 0.667 0.565
0.667 0.333 0.435
0.667 0.333 0.065
```

---

(4)
Sm4IrOs | PBE-GGA | relaxed

ΔE to the lowest computed polymorph = 108 meV/atom
formation energy = -26 kJ per mole of atoms
magnetization = 0.00 μB/cell
calculated total energy = -6.767 eV/atom
crystal system = tetragonal

Cell and atoms, written as POSCAR:
```
Sm4IrOs
1.0
-3.927 6.781 -0.614
-0.384 -4.521 -6.419
-3.257 -4.050 5.897
Os Sm Ir
2 8 2
Direct
0.249 0.249 0.000
0.999 0.499 0.500
0.697 0.498 0.199
0.248 0.947 0.699
0.299 0.498 0.801
0.753 0.449 0.696
0.248 0.549 0.301
0.806 0.003 0.804
0.199 0.003 0.196
0.753 0.056 0.304
0.750 0.750 0.000
0.500 0.000 0.500
```

---

(5)
Sn4IrOs2 | PBE-GGA | relaxed

formation energy = 70 kJ per mole of atoms
magnetization = 1.19 μB/cell
calculated total energy = -6.037 eV/atom
crystal system = tetragonal

Cell and atoms, written as POSCAR:
```
Sn4IrOs2
1.0
5.138 0.000 0.000
0.000 5.138 0.000
2.569 2.569 6.460
Os Sn Ir
2 4 1
Direct
0.404 0.404 0.192
0.596 0.596 0.808
0.500 0.000 0.000
0.000 0.500 0.000
0.203 0.203 0.594
0.797 0.797 0.406
0.000 0.000 0.000
```

---

(6)
Sn3IrOs | PBE-GGA | relaxed

ΔE to the lowest computed polymorph = 0 meV/atom
formation energy = 86 kJ per mole of atoms
magnetization = 0.99 μB/cell
calculated total energy = -5.528 eV/atom
crystal system = cubic

Cell and atoms, written as POSCAR:
```
Sn3IrOs
1.0
-3.888 2.106 2.445
-0.998 -4.426 2.225
3.069 1.229 3.821
Sn Os Ir
3 1 1
Direct
0.000 0.500 0.000
0.500 0.000 0.000
0.000 0.000 0.500
0.000 0.000 0.000
0.500 0.500 0.500
```

---

(7)
SnIr2OsW | PBE-GGA | relaxed

formation energy = 206 kJ per mole of atoms
magnetization = 1.84 μB/cell
calculated total energy = -7.046 eV/atom
crystal system = tetragonal

Cell and atoms, written as POSCAR:
```
SnIr2OsW
1.0
-2.874 -3.312 -1.698
3.932 -2.235 -2.298
0.752 -2.618 3.833
W Ir Sn Os
1 2 1 1
Direct
0.000 0.000 0.000
0.000 0.000 0.500
0.500 0.000 0.000
0.000 0.500 0.000
0.500 0.500 0.500
```

---

(8)
SnIrOsW2 | PBE-GGA | relaxed

formation energy = 170 kJ per mole of atoms
magnetization = 0.45 μB/cell
calculated total energy = -8.235 eV/atom
crystal system = tetragonal

Cell and atoms, written as POSCAR:
```
SnIrOsW2
1.0
-2.655 -3.952 -0.345
1.921 -1.648 4.095
-3.480 2.121 2.486
Ir Sn W Os
1 1 2 1
Direct
0.000 0.500 0.000
0.500 0.500 0.500
0.500 0.000 0.000
0.000 0.000 0.500
0.000 0.000 0.000
```

---

(9)
YSnIrOs2 | PBE-GGA | relaxed

formation energy = 100 kJ per mole of atoms
magnetization = 0.00 μB/cell
calculated total energy = -7.322 eV/atom
crystal system = tetragonal

Cell and atoms, written as POSCAR:
```
YSnIrOs2
1.0
-2.022 -3.300 -2.799
4.404 -2.755 0.066
-1.526 -2.347 3.870
Ir Y Sn Os
1 1 1 2
Direct
0.000 0.000 0.000
0.000 0.500 0.000
0.500 0.500 0.500
0.500 0.000 0.000
0.000 0.000 0.500
```

---

(10)
ZnSnIrOs2 | PBE-GGA | relaxed

formation energy = 166 kJ per mole of atoms
magnetization = 0.00 μB/cell
calculated total energy = -5.598 eV/atom
crystal system = tetragonal

Cell and atoms, written as POSCAR:
```
ZnSnIrOs2
1.0
-1.944 2.355 -3.684
-3.904 1.239 2.851
2.260 3.992 1.359
Os Ir Zn Sn
2 1 1 1
Direct
0.000 0.000 0.500
0.500 0.000 0.000
0.000 0.000 0.000
0.500 0.500 0.500
0.000 0.500 0.000
```

---

(11)
SrIrOs2 | PBE-GGA | relaxed

ΔE to the lowest computed polymorph = 569 meV/atom
formation energy = 97 kJ per mole of atoms
magnetization = 0.00 μB/cell
calculated total energy = -7.241 eV/atom
crystal system = tetragonal

Cell and atoms, written as POSCAR:
```
SrIrOs2
1.0
7.715 0.000 0.000
0.000 7.715 0.000
3.857 3.857 2.750
Sr Os Ir
2 4 2
Direct
0.500 0.500 0.000
0.250 0.750 0.500
0.061 0.625 0.250
0.689 0.125 0.250
0.375 0.311 0.750
0.875 0.939 0.750
0.000 0.000 0.000
0.750 0.250 0.500
```

---

(12)
Sr2IrOs | PBE-GGA | relaxed

ΔE to the lowest computed polymorph = 724 meV/atom
formation energy = 76 kJ per mole of atoms
magnetization = 1.90 μB/cell
calculated total energy = -5.076 eV/atom
crystal system = cubic

Cell and atoms, written as POSCAR:
```
Sr2IrOs
1.0
5.003 0.000 0.000
2.501 4.333 0.000
2.501 1.444 4.085
Sr Ir Os
2 1 1
Direct
0.250 0.250 0.250
0.000 0.000 0.000
0.500 0.500 0.500
0.750 0.750 0.750
```